Crystalline CaAc2Au3 at its relaxed geometry, computed with PBE-GGA.

abc: 3.819 3.819 11.560
angles: 90.00 90.00 90.00
Space group P4/mmm (No. 123)
Symmetry-distinct sites (fractional):
Ca (0.000, 0.000, 0.000) x1
Ac (0.000, 0.000, 0.326) x2
Au (0.500, 0.500, 0.157) x2
Au (0.500, 0.500, 0.500) x1

## Properties
* relative energy among the computed polymorphs: 0.018 eV/atom
* crystal system: tetragonal
* ΔH_f (0 K): -767 meV per atom
* total magnetic moment: 0.000 Bohr magnetons per cell